(1)
Computed, not measured: an optimized crystal structure of SiTe2 at the PBE-GGA level of DFT.

## Properties
The value obtained for the total magnetic moment is 0.0000 μB/atom. For the formation energy from raw total energies, the calculation gives 0.205 eV/atom. Its density of states at the Fermi level is 0.932 states/eV/f.u.

a b c (Å): 4.193 4.193 10.327
angles (deg): 90.00 90.00 90.00
Space group P4/nmm (No. 129, origin choice 2)
One atom of each set of equivalent atoms:
Si: 0.250 0.250 0.113 [2 per cell]
Te: 0.250 0.250 0.857 [2 per cell]
Te: 0.250 0.750 0.500 [2 per cell]

=====

(2)
Computed, not measured: an optimized crystal structure of Mo2RuW at the PBE-GGA level of DFT.

## Properties
The value obtained for the total magnetic moment is 0.0000 μB/atom. Its density of states at the Fermi level is 3.658 states/eV/f.u. The total DFT energy (no corrections) is -173.054 eV per cell.

a b c (Å): 6.286 6.286 6.286
angles (deg): 90.00 90.00 90.00
Space group F-43m (No. 216)
One atom of each set of equivalent atoms:
Mo: 0.000 0.000 0.000 [4 per cell]
Mo: 0.250 0.250 0.250 [4 per cell]
Ru: 0.000 0.000 0.500 [4 per cell]
W: 0.250 0.250 0.750 [4 per cell]

=====

(3)
Computed, not measured: an optimized crystal structure of AlCr2In at the PBE-GGA level of DFT.

## Properties
The value obtained for the total magnetic moment is 0.0986 μB/atom. Its density of states at the Fermi level is 1.470 states/eV/f.u. The total DFT energy (no corrections) is -25.161 eV per cell.

a b c (Å): 3.053 3.053 6.623
angles (deg): 90.00 90.00 90.00
Space group P4mm (No. 99)
One atom of each set of equivalent atoms:
Al: 0.000 0.000 0.000 [1 per cell]
Cr: 0.000 0.000 0.400 [1 per cell]
Cr: 0.500 0.500 0.210 [1 per cell]
In: 0.500 0.500 0.675 [1 per cell]

=====

Question: Look up the total magnetic moment of the second one.
Answer: 0.0000 μB/atom

=====

Question: Which of these has the highest total magnetic moment?
Answer: AlCr2In

=====

Question: Which value of total magnetic moment does entry 2 give?
Answer: 0.0000 μB/atom